{
  "formula": "Pd2SeF2",
  "functional": "PBE",
  "state": "optimized geometry",
  "de_polymorph_ev_per_fu": 0.35,
  "crystal_system": "tetragonal",
  "e_form_raw_ev_per_fu": -2.3,
  "dft_energy_ev_per_atom": -3.9740,
  "sg": "No. 127",
  "cell": [[6.949, 0.000, 0.000], [0.000, 6.949, 0.000], [0.000, 0.000, 2.918]],
  "species": ["Pd", "Pd", "Pd", "Pd", "Se", "Se", "F", "F", "F", "F"],
  "frac_coords": [[0.170, 0.330, 0.000], [0.330, 0.830, 0.000], [0.670, 0.170, 0.000], [0.830, 0.670, 0.000], [0.000, 0.000, 0.000], [0.500, 0.500, 0.000], [0.132, 0.632, 0.500], [0.368, 0.132, 0.500], [0.632, 0.868, 0.500], [0.868, 0.368, 0.500]]
}


{
  "formula": "SrCa2FeW",
  "functional": "PBE",
  "state": "optimized geometry",
  "de_polymorph_ev_per_fu": 4.19,
  "crystal_system": "tetragonal",
  "e_form_ev_per_atom": 2.205,
  "dft_energy_ev_per_atom": -3.2155,
  "sg": "No. 123",
  "cell": [[5.646, 0.000, 0.000], [0.000, 5.646, 0.000], [0.000, 0.000, 4.318]],
  "species": ["Sr", "Ca", "Ca", "Fe", "W"],
  "frac_coords": [[0.000, 0.000, 0.000], [0.000, 0.500, 0.000], [0.500, 0.000, 0.000], [0.000, 0.000, 0.500], [0.500, 0.500, 0.500]]
}


{
  "formula": "Ce5Al2S12",
  "functional": "PBE",
  "state": "optimized geometry",
  "crystal_system": "monoclinic",
  "e_form_raw_ev_per_fu": -31.3,
  "dft_energy_ev_per_atom": -6.2115,
  "sg": "No. 12",
  "cell": [[7.694, -3.500, 0.000], [7.694, 3.500, 0.000], [-2.492, 0.000, 8.309]],
  "species": ["Ce", "Ce", "Ce", "Ce", "Ce", "Al", "Al", "S", "S", "S", "S", "S", "S", "S", "S", "S", "S", "S", "S"],
  "frac_coords": [[0.000, 0.000, 0.000], [0.304, 0.304, 0.151], [0.312, 0.312, 0.656], [0.688, 0.688, 0.344], [0.696, 0.696, 0.849], [0.247, 0.753, 0.500], [0.753, 0.247, 0.500], [0.002, 0.002, 0.312], [0.087, 0.581, 0.414], [0.098, 0.599, 0.928], [0.401, 0.902, 0.072], [0.419, 0.913, 0.586], [0.498, 0.498, 0.307], [0.502, 0.502, 0.693], [0.581, 0.087, 0.414], [0.599, 0.098, 0.928], [0.902, 0.401, 0.072], [0.913, 0.419, 0.586], [0.998, 0.998, 0.688]]
}


{
  "formula": "YCu2Hg2",
  "functional": "PBE",
  "state": "optimized geometry",
  "de_polymorph_ev_per_fu": 0.35,
  "crystal_system": "tetragonal",
  "e_form_ev_per_atom": -0.050,
  "dft_energy_ev_per_atom": -3.1019,
  "sg": "No. 127",
  "cell": [[7.371, 0.000, 0.000], [0.000, 7.371, 0.000], [0.000, 0.000, 3.659]],
  "species": ["Y", "Y", "Cu", "Cu", "Cu", "Cu", "Hg", "Hg", "Hg", "Hg"],
  "frac_coords": [[0.000, 0.000, 0.000], [0.500, 0.500, 0.000], [0.117, 0.383, 0.000], [0.383, 0.883, 0.000], [0.617, 0.117, 0.000], [0.883, 0.617, 0.000], [0.179, 0.679, 0.500], [0.321, 0.179, 0.500], [0.679, 0.821, 0.500], [0.821, 0.321, 0.500]]
}


{
  "formula": "ReBMo",
  "functional": "PBE",
  "state": "optimized geometry",
  "de_polymorph_ev_per_fu": 1.08,
  "crystal_system": "tetragonal",
  "e_form_ev_per_atom": 0.050,
  "dft_energy_ev_per_atom": -9.9354,
  "sg": "No. 107",
  "cell": [[-1.395, 1.395, 4.764], [1.395, -1.395, 4.764], [1.395, 1.395, -4.764]],
  "species": ["Re", "B", "Mo"],
  "frac_coords": [[0.000, 0.000, 0.000], [0.380, 0.380, 0.000], [0.726, 0.726, 0.000]]
}


{
  "formula": "SrAl3In3",
  "functional": "PBE",
  "state": "optimized geometry",
  "crystal_system": "cubic",
  "e_form_ev_per_atom": 0.227,
  "dft_energy_ev_per_atom": -2.7911,
  "sg": "No. 223",
  "cell": [[7.611, 0.000, 0.000], [0.000, 7.611, 0.000], [0.000, 0.000, 7.611]],
  "species": ["Sr", "Sr", "Al", "Al", "Al", "Al", "Al", "Al", "In", "In", "In", "In", "In", "In"],
  "frac_coords": [[0.000, 0.000, 0.000], [0.500, 0.500, 0.500], [0.000, 0.250, 0.500], [0.000, 0.750, 0.500], [0.250, 0.500, 0.000], [0.500, 0.000, 0.250], [0.500, 0.000, 0.750], [0.750, 0.500, 0.000], [0.000, 0.500, 0.250], [0.000, 0.500, 0.750], [0.250, 0.000, 0.500], [0.500, 0.250, 0.000], [0.500, 0.750, 0.000], [0.750, 0.000, 0.500]]
}